! MnCuHRh2, relaxed, DFT PBE; values from VASP
&SYSTEM
  ibrav = 0, nat = 5, ntyp = 4
/
ATOMIC_SPECIES
Mn 54.94 Mn.upf
Rh 102.91 Rh.upf
H 1.01 H.upf
Cu 63.55 Cu.upf
ATOMIC_POSITIONS angstrom
Mn 0.038 -1.245 1.421
Rh -1.938 -0.078 -0.016
H 0.000 0.000 0.000
Cu -1.969 0.133 2.683
Rh -0.070 1.457 1.279
CELL_PARAMETERS angstrom
-0.140 2.913 2.557
-3.876 -0.157 -0.033
0.077 -2.490 2.841
! Crystal system ... tetragonal
! Symmetry ... P4/mmm, No. 123

---

! Mn2CuHRh, relaxed, DFT PBE; values from VASP
&SYSTEM
  ibrav = 0, nat = 5, ntyp = 4
/
ATOMIC_SPECIES
Rh 102.91 Rh.upf
Mn 54.94 Mn.upf
H 1.01 H.upf
Cu 63.55 Cu.upf
ATOMIC_POSITIONS angstrom
Rh 1.861 1.861 1.909
Mn 0.000 1.861 0.000
Mn 1.861 0.000 0.000
H 0.000 0.000 0.000
Cu 0.000 0.000 1.909
CELL_PARAMETERS angstrom
3.723 0.000 0.000
0.000 3.723 0.000
0.000 0.000 3.817
! Crystal system ... tetragonal
! Symmetry ... P4/mmm, No. 123

---

! Mn2CuHRu, relaxed, DFT PBE; values from VASP
&SYSTEM
  ibrav = 0, nat = 5, ntyp = 4
/
ATOMIC_SPECIES
H 1.01 H.upf
Mn 54.94 Mn.upf
Cu 63.55 Cu.upf
Ru 101.07 Ru.upf
ATOMIC_POSITIONS angstrom
H 0.000 0.000 0.000
Mn -1.855 -0.137 -0.074
Mn 0.108 -0.487 -1.794
Cu 0.113 -1.798 0.495
Ru -1.634 -2.423 -1.372
CELL_PARAMETERS angstrom
-3.711 -0.274 -0.148
0.215 -0.975 -3.587
0.226 -3.596 0.991
! Crystal system ... tetragonal
! Symmetry ... P4/mmm, No. 123

---

! Mn2CuHRu, relaxed, DFT PBE; values from VASP
&SYSTEM
  ibrav = 0, nat = 5, ntyp = 4
/
ATOMIC_SPECIES
Cu 63.55 Cu.upf
Mn 54.94 Mn.upf
H 1.01 H.upf
Ru 101.07 Ru.upf
ATOMIC_POSITIONS angstrom
Cu 1.875 1.875 1.886
Mn 0.000 1.875 0.000
H 0.000 0.000 0.000
Mn 1.875 0.000 0.000
Ru 0.000 0.000 1.886
CELL_PARAMETERS angstrom
3.749 0.000 0.000
0.000 3.749 0.000
0.000 0.000 3.773
! Crystal system ... tetragonal
! Symmetry ... P4/mmm, No. 123

---

| no. | DFT total energy (eV per atom) |
| --- | --- |
| 1 | -6.3192 |
| 2 | -6.5680 |
| 3 | -6.8257 |
| 4 | -6.8624 |